[1]
Entry from Alexandria via LeMat-Bulk: a relaxed structure of CaLa3Si (GGA-PBE).

Results
The total energy comes out at -4.5324 eV/atom. As for the calculated density: 3.99 g/cm3. Its energy relative to the lowest polymorph listed for this composition is 0 meV/atom. The calculation puts the spin magnetization at 0.83 μB/cell. The uncorrected formation energy is -0.0911 eV/atom.

a = 5.864 Å, b = 5.864 Å, c = 5.864 Å
α = 90.00°, β = 90.00°, γ = 90.00°
Fractional positions:
Ca 0.000 0.000 0.000
La 0.000 0.500 0.500
La 0.500 0.000 0.500
La 0.500 0.500 0.000
Si 0.500 0.500 0.500

[2]
Entry from Alexandria via LeMat-Bulk: a relaxed structure of Li3ErPd4 (GGA-PBE).

Results
The total energy comes out at -4.4979 eV/atom. As for the calculated density: 8.25 g/cm3. For the energy of formation from the pure elements, the calculation gives -0.61 eV/atom. The calculation puts the spin magnetization at 0.00 μB/cell.

a = 4.252 Å, b = 4.252 Å, c = 6.833 Å
α = 90.00°, β = 90.00°, γ = 90.00°
Fractional positions:
Li 0.000 0.000 0.000
Li 0.000 0.000 0.500
Li 0.500 0.500 0.000
Er 0.500 0.500 0.500
Pd 0.000 0.500 0.228
Pd 0.000 0.500 0.772
Pd 0.500 0.000 0.228
Pd 0.500 0.000 0.772